# 1
VASP calculation (PBE) on crystalline NaPmBiPd at its relaxed geometry.

Cell lengths 5.2322, 5.2322, 5.2322 Å; angles 60.00, 60.00, 60.00 degrees
With the nearest neighbours (Å) after each atom.
Positions (direct):
Na 0.0000 0.0000 0.0000  4 Bi 3.20, 4 Pd 3.20
Pm 0.5000 0.5000 0.5000  4 Bi 3.20, 4 Pd 3.20
Bi 0.7500 0.7500 0.7500  4 Na 3.20, 4 Pm 3.20
Pd 0.2500 0.2500 0.2500  4 Na 3.20, 4 Pm 3.20

## Properties
Energy of formation (eV per atom): -0.4962
Total energy (eV/atom): -4.2821
Space-group type: F-43m (216)

---

# 2
VASP calculation (PBE) on crystalline Ba2LaH at its relaxed geometry.

Cell lengths 7.4336, 7.4336, 7.4336 Å; angles 113.89, 113.89, 100.96 degrees
With the nearest neighbours (Å) after each atom.
Positions (direct):
Ba 0.3750 0.0107 0.1357  2 H 2.52
Ba 0.7607 0.6250 0.6357  2 H 2.52
Ba 0.8750 0.2393 0.8643  2 H 2.52
Ba 0.9893 0.1250 0.3643  2 H 2.52
La 0.2500 0.7500 0.5000  8 Ba 3.91-4.19
La 0.5000 0.5000 0.0000  8 Ba 3.91-4.19
H 0.0000 0.0000 0.0000  4 Ba 2.52
H 0.7500 0.2500 0.5000  4 Ba 2.52

## Properties
Total energy (eV/atom): -2.9660
Space-group type: I-42d (122)

---

# 3
VASP calculation (PBE) on crystalline Cr2CoSe at its relaxed geometry.

Cell lengths 2.8239, 3.6837, 5.0067 Å; angles 90.00, 101.20, 90.00 degrees
With the nearest neighbours (Å) after each atom.
Positions (direct):
Cr 0.0646 0.0000 0.2183  1 Cr 2.15
Cr 0.9354 0.0000 0.7817  1 Cr 2.15
Co 0.5000 0.5000 0.0000  2 Se 2.50, 8 Cr 2.54-2.57
Se 0.5000 0.5000 0.5000  4 Cr 2.49, 2 Co 2.50

## Properties
Formation energy without anion corrections (eV/atom): 0.3223
Total energy (eV/atom): -7.1370
Space-group type: P2/m (10)